1.
InCu2As: optimized geometry, PBE.

abc: 4.2036 4.2036 6.1416
angles: 104.62 104.62 42.92
With the nearest neighbours (Å) after each atom.
Fractional positions:
In (0.0000, 0.0000, 0.0000)  6 Cu 2.78-3.09, 2 In 3.08
Cu (0.2528, 0.2528, 0.6908)  3 As 2.52-2.53, 2 In 2.78, 2 Cu 2.79
Cu (0.7472, 0.7472, 0.3092)  3 As 2.52-2.53, 2 In 2.78, 2 Cu 2.79
As (0.5000, 0.5000, 0.5000)  6 Cu 2.52-2.53

Calculated values
- ΔE_f (meV/atom) = 125
- spin magnetization (μB per atom) = 0.00
- space-group type = C2/m, No. 12

2.
Dy4SiRh3: optimized geometry, PBE.

abc: 3.9002 4.1612 10.6158
angles: 90.00 90.00 90.00
With the nearest neighbours (Å) after each atom.
Fractional positions:
Dy (0.0000, 0.0000, 0.0000)  6 Rh 2.90-3.08, 1 Si 3.11
Dy (0.0000, 0.5000, 0.2782)  7 Rh 2.91-3.12
Dy (0.5000, 0.0000, 0.4919)  5 Rh 2.84-2.97, 2 Si 3.00
Dy (0.5000, 0.5000, 0.7818)  3 Rh 2.84-2.98, 4 Si 2.96
Si (0.0000, 0.0000, 0.7071)  2 Rh 2.54
Rh (0.0000, 0.5000, 0.5697)  2 Si 2.54
Rh (0.5000, 0.0000, 0.2243)  2 Rh 2.79, 7 Dy 2.84-3.08
Rh (0.5000, 0.5000, 0.0493)  2 Rh 2.79, 7 Dy 2.84-3.12

Calculated values
- total DFT energy (no corrections) (Ha/atom) = -0.241
- spin magnetization (μB per atom) = 0.00
- space-group type = Pmm2, No. 25

3.
Mg2AlSb: optimized geometry, PBE.

abc: 4.5040 4.5040 4.3402
angles: 90.00 90.00 90.00
With the nearest neighbours (Å) after each atom.
Fractional positions:
Mg (0.0000, 0.5000, 0.0000)  4 Sb 3.13, 4 Al 3.13, 4 Mg 3.18
Mg (0.5000, 0.0000, 0.0000)  4 Sb 3.13, 4 Al 3.13, 4 Mg 3.18
Al (0.0000, 0.0000, 0.5000)  8 Mg 3.13, 4 Sb 3.18
Sb (0.5000, 0.5000, 0.5000)  8 Mg 3.13, 4 Al 3.18

Calculated values
- ΔE to the lowest computed polymorph (meV per atom) = 0.0
- spin magnetization (μB per atom) = 0.00
- space-group type = P4/mmm, No. 123

4.
PuFeCuSn: optimized geometry, PBE.

abc: 4.6807 4.6807 4.6807
angles: 60.00 60.00 60.00
With the nearest neighbours (Å) after each atom.
Fractional positions:
Pu (0.0000, 0.0000, 0.0000)  4 Fe 2.87, 4 Cu 2.87
Fe (0.7500, 0.7500, 0.7500)  4 Sn 2.87, 4 Pu 2.87
Cu (0.2500, 0.2500, 0.2500)  4 Sn 2.87, 4 Pu 2.87
Sn (0.5000, 0.5000, 0.5000)  4 Cu 2.87, 4 Fe 2.87

Calculated values
- ΔE_f (meV/atom) = -20
- spin magnetization (μB per atom) = 0.68
- space-group type = F-43m, No. 216

5.
Cr2NiTe: optimized geometry, PBE.

abc: 3.3570 3.3570 5.4515
angles: 90.00 90.00 90.00
With the nearest neighbours (Å) after each atom.
Fractional positions:
Cr (0.0000, 0.0000, 0.0000)  1 Ni 2.52, 4 Cr 2.62
Cr (0.5000, 0.5000, 0.2014)  4 Cr 2.62, 2 Te 2.69-2.76, 4 Ni 2.77
Ni (0.0000, 0.0000, 0.4617)  5 Cr 2.52-2.77, 4 Te 2.69
Te (0.5000, 0.5000, 0.6946)  6 Cr 2.69-2.90, 4 Ni 2.69

Calculated values
- total DFT energy (no corrections) (Ha/atom) = -0.248
- spin magnetization (μB per atom) = 0.06
- space-group type = P4mm, No. 99

6.
LaOsBr2: optimized geometry, PBE.

abc: 7.4185 7.4185 7.4185
angles: 150.44 143.15 47.93
With the nearest neighbours (Å) after each atom.
Fractional positions:
La (0.0000, 0.0000, 0.0000)  4 Os 3.01, 4 Br 3.05
Os (0.5000, 0.5000, 0.0000)  4 Br 2.72, 4 La 3.01
Br (0.3556, 0.8556, 0.5000)  2 Os 2.72
Br (0.6444, 0.1444, 0.5000)  2 Os 2.72

Calculated values
- ΔE to the lowest computed polymorph (meV per atom) = 188.0
- spin magnetization (μB per atom) = 0.19
- space-group type = Immm, No. 71

7.
Pt2C: optimized geometry, PBE.

abc: 5.3262 5.3262 5.3262
angles: 149.83 149.83 43.20
With the nearest neighbours (Å) after each atom.
Fractional positions:
Pt (0.1384, 0.1384, 0.0000)  4 C 2.39
Pt (0.8616, 0.8616, 0.0000)  4 C 2.39
C (0.5000, 0.5000, 0.0000)  8 Pt 2.39

Calculated values
- ΔE_f (meV/atom) = 1211
- ΔE to the lowest computed polymorph (meV per atom) = 653.7
- spin magnetization (μB per atom) = 0.00
- space-group type = I4/mmm, No. 139

8.
Tb3Pr4Y2: optimized geometry, PBE.

abc: 6.2789 6.2879 9.6103
angles: 71.05 71.17 60.10
With the nearest neighbours (Å) after each atom.
Fractional positions:
Tb (0.0000, 0.0000, 0.0000)  8 Pr 3.62-3.63, 2 Tb 3.65, 2 Y 3.65
Tb (0.1111, 0.4438, 0.6651)  2 Tb 3.60-3.65, 6 Pr 3.61-3.65, 4 Y 3.62-3.64
Tb (0.8889, 0.5562, 0.3349)  2 Tb 3.60-3.65, 6 Pr 3.61-3.65, 4 Y 3.62-3.64
Pr (0.2203, 0.8879, 0.3345)  5 Tb 3.61-3.64, 3 Pr 3.62-3.66, 4 Y 3.62-3.64
Pr (0.3322, 0.3340, 0.0002)  5 Pr 3.62-3.66, 5 Tb 3.62-3.65, 2 Y 3.63-3.65
Pr (0.6678, 0.6660, 0.9998)  5 Pr 3.62-3.66, 5 Tb 3.62-3.65, 2 Y 3.63-3.65
Pr (0.7797, 0.1121, 0.6655)  5 Tb 3.61-3.64, 3 Pr 3.62-3.66, 4 Y 3.62-3.64
Y (0.4452, 0.7792, 0.6654)  1 Y 3.61, 6 Pr 3.62-3.65, 5 Tb 3.62-3.65
Y (0.5548, 0.2208, 0.3346)  1 Y 3.61, 6 Pr 3.62-3.65, 5 Tb 3.62-3.65

Calculated values
- ΔE_f (meV/atom) = 16
- ΔE to the lowest computed polymorph (meV per atom) = 0.0
- spin magnetization (μB per atom) = 0.00
- space-group type = P-1, No. 2